Entry 1:
Material: Tl2SbIr
Method: DFT, GGA-PBEsol
State: relaxed

The formation energy (no corrections) comes out at 0.579 eV/atom. The space group is I4/mmm (139). For the energy above the lowest structure with this stoichiometry, the calculation gives 0.4623 eV per atom.

Structure (POSCAR):
```
Tl2SbIr
1.0
4.389 0.000 0.000
0.000 4.389 0.000
-2.194 -2.194 4.496
Tl Ir Sb
2 1 1
direct
0.750 0.250 0.500
0.250 0.750 0.500
0.500 0.500 0.000
0.000 0.000 0.000
```

Entry 2:
Material: Pb3NF
Method: DFT, GGA-PBEsol
State: relaxed

The formation energy (no corrections) comes out at 0.542 eV/atom. The space group is Pm-3m (221).

Structure (POSCAR):
```
Pb3NF
1.0
4.906 0.000 0.000
0.000 4.906 0.000
0.000 0.000 4.906
Pb F N
3 1 1
direct
0.000 0.500 0.000
0.000 0.000 0.500
0.500 0.000 0.000
0.000 0.000 0.000
0.500 0.500 0.500
```

Entry 3:
Material: CdHgRh2
Method: DFT, GGA-PBEsol
State: relaxed

For the energy relative to the elements, the calculation gives 177 meV/atom. The space group is Immm (71).

Structure (POSCAR):
```
CdHgRh2
1.0
2.987 0.000 0.000
0.000 4.773 0.000
-1.494 -2.386 4.568
Rh Cd Hg
2 1 1
direct
0.250 0.250 0.501
0.750 0.750 0.499
0.000 0.500 0.000
0.500 0.000 0.000
```

Entry 4:
Material: ReTcPb2
Method: DFT, GGA-PBEsol
State: relaxed

For the energy relative to the elements, the calculation gives 1137 meV/atom. The space group is Immm (71). For the energy above the lowest structure with this stoichiometry, the calculation gives 0.0025 eV per atom.

Structure (POSCAR):
```
ReTcPb2
1.0
3.244 0.000 0.000
0.000 5.311 0.000
-1.622 -2.655 4.440
Re Tc Pb
1 1 2
direct
0.000 0.500 0.000
0.500 0.000 0.000
0.248 0.248 0.495
0.752 0.752 0.505
```

Entry 5:
Material: LaGe3I
Method: DFT, GGA-PBEsol
State: relaxed

The formation energy (no corrections) comes out at 0.597 eV/atom. The space group is Pm-3m (221).

Structure (POSCAR):
```
LaGe3I
1.0
-2.213 2.981 3.775
-4.437 0.341 -2.869
-1.858 -4.363 2.355
Ge I La
3 1 1
direct
0.000 0.500 0.000
0.500 0.000 0.000
0.000 0.000 0.500
0.000 0.000 0.000
0.500 0.500 0.500
```

Entry 6:
Material: IrF3
Method: DFT, GGA-PBEsol
State: relaxed

The formation energy (no corrections) comes out at -1.239 eV/atom. The space group is R-3c (167).

Structure (POSCAR):
```
IrF3
1.0
-4.677 -1.541 0.174
-1.436 -3.122 3.531
-3.106 1.993 3.937
F Ir
6 2
direct
0.420 0.080 0.750
0.580 0.920 0.250
0.250 0.580 0.250
0.920 0.250 0.250
0.750 0.420 0.750
0.080 0.750 0.750
0.500 0.500 0.500
0.000 0.000 0.000
```

Entry 7:
Material: Na3HPb
Method: DFT, GGA-PBEsol
State: relaxed

The space group is Pm-3m (221). As for the total DFT energy (no corrections): -2.37 eV/atom.

Structure (POSCAR):
```
Na3HPb
1.0
4.785 0.000 0.000
0.000 4.785 0.000
0.000 0.000 4.785
Na Pb H
3 1 1
direct
0.000 0.000 0.500
0.500 0.000 0.000
0.000 0.500 0.000
0.500 0.500 0.500
0.000 0.000 0.000
```

Entry 8:
Material: SiTcHg3
Method: DFT, GGA-PBEsol
State: relaxed

The formation energy (no corrections) comes out at 1.200 eV/atom. The space group is Pm-3m (221).

Structure (POSCAR):
```
SiTcHg3
1.0
-3.330 0.391 -3.584
3.274 -1.717 -3.228
-1.511 -4.581 0.904
Si Hg Tc
1 3 1
direct
0.000 0.000 0.000
0.000 0.500 0.000
0.500 0.000 0.000
0.000 0.000 0.500
0.500 0.500 0.500
```

> What is the formula in the third record?

CdHgRh2

What did the first record say?
Material: Tl2SbIr
Method: DFT, GGA-PBEsol
State: relaxed

The formation energy (no corrections) comes out at 0.579 eV/atom. The space group is I4/mmm (139). For the energy above the lowest structure with this stoichiometry, the calculation gives 0.4623 eV per atom.

Structure (POSCAR):
```
Tl2SbIr
1.0
4.389 0.000 0.000
0.000 4.389 0.000
-2.194 -2.194 4.496
Tl Ir Sb
2 1 1
direct
0.750 0.250 0.500
0.250 0.750 0.500
0.500 0.500 0.000
0.000 0.000 0.000
```